Entry 1:
Li4La2SnGe3 PBE optimized geometry; space-group type = No. 115; magnetic moment = 0.00 μB per atom; total energy = -40.80 eV/cell
1.0
4.388 0.000 0.000
0.000 4.388 0.000
0.000 0.000 10.634
La Li Ge Sn
2 4 3 1
Cartesian
0.000 2.194 8.120
2.194 0.000 2.515
0.000 0.000 0.000
2.194 0.000 6.845
0.000 2.194 3.789
2.194 2.194 0.000
0.000 2.194 1.338
2.194 0.000 9.296
0.000 0.000 5.317
2.194 2.194 5.317

***

Entry 2:
In5Ga4Hg2 PBE optimized geometry; space-group type = No. 12; polymorph energy (0 for the lowest one) = 0 meV/atom; magnetic moment = 0.00 μB per atom
1.0
4.481 0.000 -1.280
-0.216 9.552 -0.755
-0.566 0.186 6.500
In Ga Hg
5 4 2
Cartesian
2.240 0.000 -0.640
3.267 0.991 2.952
0.432 8.747 1.512
3.319 4.536 3.137
0.379 5.202 1.328
0.161 1.824 0.563
3.538 7.914 3.902
2.853 7.059 1.504
0.846 2.680 2.961
1.480 6.445 5.180
2.219 3.293 -0.715

***

Entry 3:
ZrReRu3 PBE optimized geometry; space-group type = No. 221; polymorph energy (0 for the lowest one) = 0 meV/atom; magnetic moment = 0.00 μB per atom
1.0
4.646 0.000 0.000
0.000 4.646 0.000
0.000 0.000 4.646
Re Ru Zr
1 3 1
Cartesian
0.000 0.000 0.000
0.000 2.323 0.000
2.323 0.000 0.000
0.000 0.000 2.323
2.323 2.323 2.323